Here is an optimized crystal structure of LiNb2As2 from Alexandria. Energies are from PBE.

a b c (Å): 5.013 5.013 5.357
angles (deg): 62.10 62.10 90.00
Element x y z (fractional)
Li  0.000  0.000  0.000
Nb  0.345  0.345  0.309
Nb  0.655  0.655  0.691
As  0.250  0.750  0.500
As  0.750  0.250  0.500

The formation energy from the elements is -0.059 eV/atom. The density of states at the Fermi level is 3.48 states/eV/cell.


Here is an optimized crystal structure of LiNbAs3 from Alexandria. Energies are from PBE.

a b c (Å): 5.029 5.029 5.029
angles (deg): 90.00 90.00 90.00
Element x y z (fractional)
As  0.500  0.000  0.000
As  0.000  0.000  0.500
As  0.000  0.500  0.000
Nb  0.000  0.000  0.000
Li  0.500  0.500  0.500

The formation energy from the elements is 0.033 eV/atom. The density of states at the Fermi level is 2.33 states/eV/cell.


Here is an optimized crystal structure of LiNbAs2 from Alexandria. Energies are from PBE.

a b c (Å): 3.966 3.966 6.513
angles (deg): 90.00 90.00 90.00
Element x y z (fractional)
Nb  0.000  0.000  0.000
As  0.500  0.000  0.769
As  0.000  0.500  0.231
Li  0.500  0.500  0.500

The formation energy from the elements is -0.132 eV/atom. The density of states at the Fermi level is 0.91 states/eV/cell.


Here is an optimized crystal structure of LiNbAs2 from Alexandria. Energies are from PBE.

a b c (Å): 3.381 3.381 5.878
angles (deg): 90.00 90.00 90.00
Element x y z (fractional)
Nb  0.500  0.500  0.000
As  0.000  0.000  0.238
As  0.000  0.000  0.762
Li  0.500  0.500  0.500

The formation energy from the elements is -0.457 eV/atom. The density of states at the Fermi level is 2.12 states/eV/cell.


Here is an optimized crystal structure of LiNb2As2 from Alexandria. Energies are from PBE.

a b c (Å): 7.092 7.092 3.392
angles (deg): 90.00 90.00 90.00
Element x y z (fractional)
Li  0.500  0.500  0.000
Li  0.000  0.000  0.000
As  0.149  0.351  0.000
As  0.351  0.851  0.000
As  0.851  0.649  0.000
As  0.649  0.149  0.000
Nb  0.855  0.355  0.500
Nb  0.145  0.645  0.500
Nb  0.355  0.145  0.500
Nb  0.645  0.855  0.500

The formation energy from the elements is -0.489 eV/atom. The density of states at the Fermi level is 8.53 states/eV/cell.


Here is an optimized crystal structure of Li6NbAs4 from Alexandria. Energies are from PBE.

a b c (Å): 6.556 8.251 8.251
angles (deg): 90.00 90.00 90.00
Element x y z (fractional)
As  0.708  0.750  0.000
As  0.292  0.000  0.250
As  0.708  0.250  0.000
As  0.208  0.500  0.250
As  0.792  0.750  0.500
As  0.792  0.250  0.500
As  0.208  0.500  0.750
As  0.292  0.000  0.750
Nb  0.500  0.000  0.000
Nb  0.000  0.500  0.500
Li  0.055  0.000  0.500
Li  0.445  0.500  0.000
Li  0.945  0.500  0.000
Li  0.000  0.782  0.782
Li  0.500  0.718  0.282
Li  0.500  0.282  0.718
Li  0.555  0.000  0.500
Li  0.500  0.282  0.282
Li  0.000  0.218  0.782
Li  0.000  0.782  0.218
Li  0.000  0.218  0.218
Li  0.500  0.718  0.718

The formation energy from the elements is -0.546 eV/atom. The density of states at the Fermi level is 14.67 states/eV/cell.


Here is an optimized crystal structure of LiNb2As2 from Alexandria. Energies are from PBE.

a b c (Å): 4.089 4.089 6.516
angles (deg): 71.71 71.71 90.00
Element x y z (fractional)
As  0.607  0.607  0.786
As  0.393  0.393  0.214
Nb  0.250  0.750  0.500
Nb  0.750  0.250  0.500
Li  0.000  0.000  0.000

The formation energy from the elements is -0.400 eV/atom. The density of states at the Fermi level is 1.32 states/eV/cell.


Here is an optimized crystal structure of Li2NbAs2 from Alexandria. Energies are from PBE.

a b c (Å): 6.895 6.895 3.536
angles (deg): 90.00 90.00 90.00
Element x y z (fractional)
As  0.157  0.343  0.000
As  0.843  0.657  0.000
As  0.343  0.843  0.000
As  0.657  0.157  0.000
Li  0.355  0.145  0.500
Li  0.645  0.855  0.500
Li  0.855  0.355  0.500
Li  0.145  0.645  0.500
Nb  0.500  0.500  0.000
Nb  0.000  0.000  0.000

The formation energy from the elements is -0.359 eV/atom. The density of states at the Fermi level is 7.60 states/eV/cell.


Here is an optimized crystal structure of Li2NbAs2 from Alexandria. Energies are from PBE.

a b c (Å): 3.424 3.424 7.100
angles (deg): 76.05 76.05 90.00
Element x y z (fractional)
Li  0.750  0.250  0.500
Li  0.250  0.750  0.500
Nb  0.000  0.000  0.000
As  0.607  0.607  0.786
As  0.393  0.393  0.214

The formation energy from the elements is -0.398 eV/atom. The density of states at the Fermi level is 3.49 states/eV/cell.


Here is an optimized crystal structure of LiNbAs2 from Alexandria. Energies are from PBE.

a b c (Å): 3.627 3.627 6.968
angles (deg): 74.92 74.92 60.00
Element x y z (fractional)
As  0.080  0.080  0.759
As  0.253  0.253  0.240
Li  0.499  0.499  0.502
Nb  0.667  0.667  0.999

The formation energy from the elements is -0.476 eV/atom. The density of states at the Fermi level is 1.64 states/eV/cell.


Here is an optimized crystal structure of LiNb3As from Alexandria. Energies are from PBE.

a b c (Å): 4.815 4.815 4.815
angles (deg): 90.00 90.00 90.00
Element x y z (fractional)
Li  0.500  0.500  0.500
Nb  0.500  0.000  0.000
Nb  0.000  0.500  0.000
Nb  0.000  0.000  0.500
As  0.000  0.000  0.000

The formation energy from the elements is 0.771 eV/atom. The density of states at the Fermi level is 7.52 states/eV/cell.


Here is an optimized crystal structure of LiNbAs2 from Alexandria. Energies are from PBE.

a b c (Å): 4.899 4.899 26.345
angles (deg): 88.30 88.30 42.11
Element x y z (fractional)
As  0.522  0.522  0.337
As  0.312  0.312  0.686
As  0.717  0.717  0.858
As  0.424  0.424  0.941
As  0.704  0.704  0.111
As  0.605  0.605  0.601
As  0.164  0.164  0.427
As  0.103  0.103  0.032
As  0.941  0.941  0.275
As  0.015  0.015  0.772
As  0.901  0.901  0.515
As  0.299  0.299  0.176
Nb  0.321  0.321  0.585
Nb  0.730  0.730  0.757
Nb  0.133  0.133  0.928
Nb  0.433  0.433  0.842
Nb  0.621  0.621  0.499
Nb  0.028  0.028  0.671
Li  0.817  0.817  0.006
Li  0.242  0.242  0.328
Li  0.014  0.014  0.166
Li  0.660  0.660  0.241
Li  0.420  0.420  0.082
Li  0.878  0.878  0.413

The formation energy from the elements is -0.518 eV/atom. The density of states at the Fermi level is 9.34 states/eV/cell.


Here is an optimized crystal structure of LiNbAs2 from Alexandria. Energies are from PBE.

a b c (Å): 4.583 4.583 4.583
angles (deg): 60.00 60.00 60.00
Site moments in Bohr magnetons follow the coordinates.
Element x y z (fractional)
As  0.250  0.250  0.250  -0.04
As  0.750  0.750  0.750  -0.04
Nb  0.500  0.500  0.500  0.93
Li  0.000  0.000  0.000  0.01

The formation energy from the elements is -0.231 eV/atom. The density of states at the Fermi level is 2.63 states/eV/cell.


Here is an optimized crystal structure of LiNbAs2 from Alexandria. Energies are from PBE.

a b c (Å): 6.115 6.115 7.029
angles (deg): 64.21 64.21 90.00
Element x y z (fractional)
As  0.875  0.899  0.750
As  0.101  0.625  0.250
As  0.649  0.125  0.250
As  0.375  0.351  0.750
Li  0.500  0.500  0.000
Li  0.250  0.750  0.500
Nb  0.000  0.000  0.000
Nb  0.750  0.250  0.500

The formation energy from the elements is -0.142 eV/atom. The density of states at the Fermi level is 0.00 states/eV/cell.


Here is an optimized crystal structure of LiNbAs2O8 from Alexandria. Energies are from PBE.

a b c (Å): 5.642 5.642 5.642
angles (deg): 106.84 106.84 114.88
Element x y z (fractional)
Nb  0.250  0.750  0.500
O  0.322  0.125  0.803
O  0.736  0.052  0.684
O  0.368  0.052  0.316
O  0.948  0.264  0.316
O  0.481  0.678  0.803
O  0.875  0.678  0.197
O  0.322  0.519  0.197
O  0.948  0.632  0.684
As  0.750  0.250  0.500
As  0.500  0.500  0.000
Li  0.000  0.000  0.000

For the formation energy from raw total energies, the calculation gives -1.62 eV/atom. The density of states at the Fermi level is 0.00 states/eV/cell.


Here is an optimized crystal structure of LiNbAsO6 from Alexandria. Energies are from PBE.

a b c (Å): 5.170 5.170 9.153
angles (deg): 90.00 90.00 120.00
Site moments in Bohr magnetons follow the coordinates.
Element x y z (fractional)
O  0.378  0.024  0.637  0.16
O  0.976  0.354  0.637  0.16
O  0.024  0.378  0.137  0.16
O  0.354  0.976  0.137  0.16
O  0.024  0.646  0.363  0.16
O  0.646  0.024  0.863  0.16
O  0.354  0.378  0.363  0.16
O  0.622  0.646  0.137  0.16
O  0.378  0.354  0.863  0.16
O  0.646  0.622  0.637  0.16
O  0.976  0.622  0.863  0.16
O  0.622  0.976  0.363  0.16
Li  0.000  0.000  0.500  0.00
Li  0.000  0.000  0.000  0.00
Nb  0.667  0.333  0.250  -0.08
Nb  0.333  0.667  0.750  -0.08
As  0.667  0.333  0.750  -0.02
As  0.333  0.667  0.250  -0.02

For the formation energy from raw total energies, the calculation gives -1.62 eV/atom. The density of states at the Fermi level is 6.24 states/eV/cell.


Here is an optimized crystal structure of LiNbAs2O6 from Alexandria. Energies are from PBE.

a b c (Å): 6.085 5.701 5.886
angles (deg): 79.40 123.15 120.18
Element x y z (fractional)
As  0.585  0.887  0.381
As  0.697  0.398  0.869
O  0.852  0.656  0.144
O  0.962  0.161  0.639
O  0.943  0.243  0.098
O  0.414  0.116  0.226
O  0.502  0.788  0.643
O  0.945  0.661  0.770
Li  0.073  0.574  0.557
Nb  0.992  0.993  0.976

For the formation energy from raw total energies, the calculation gives -1.80 eV/atom. The density of states at the Fermi level is 0.00 states/eV/cell.


Here is an optimized crystal structure of Li2NbAsO6 from Alexandria. Energies are from PBE.

a b c (Å): 4.661 5.190 5.190
angles (deg): 90.00 90.00 90.00
Element x y z (fractional)
O  0.726  0.239  0.239
O  0.218  0.500  0.500
O  0.726  0.761  0.239
O  0.726  0.761  0.761
O  0.726  0.239  0.761
O  0.241  0.000  0.000
Li  0.943  0.000  0.500
Li  0.943  0.500  0.000
Nb  0.600  0.500  0.500
As  0.600  0.000  0.000

For the formation energy from raw total energies, the calculation gives -1.88 eV/atom. The density of states at the Fermi level is 0.00 states/eV/cell.


Here is an optimized crystal structure of RbLi2NbAs from Alexandria. Energies are from PBE.

a b c (Å): 4.448 4.448 5.434
angles (deg): 90.00 90.00 90.00
Site moments in Bohr magnetons follow the coordinates.
Element x y z (fractional)
As  0.500  0.500  0.500  0.00
Nb  0.000  0.000  0.500  0.87
Li  0.500  0.000  0.000  0.00
Li  0.000  0.500  0.000  0.00
Rb  0.000  0.000  0.000  0.06

The formation energy from the elements is 1.515 eV/atom. The density of states at the Fermi level is 3.87 states/eV/cell.


Here is an optimized crystal structure of Rb2LiNbAs from Alexandria. Energies are from PBE.

a b c (Å): 6.622 5.340 6.622
angles (deg): 90.00 90.00 90.00
Site moments in Bohr magnetons follow the coordinates.
Element x y z (fractional)
Rb  0.500  0.000  0.000  0.05
Rb  0.000  0.000  0.500  0.06
As  0.500  0.500  0.500  0.57
Nb  0.000  0.000  0.000  3.35
Li  0.000  0.500  0.000  0.08

The formation energy from the elements is 1.353 eV/atom. The density of states at the Fermi level is 6.10 states/eV/cell.


Here is an optimized crystal structure of LiNbAsRh2 from Alexandria. Energies are from PBE.

a b c (Å): 4.582 4.780 4.582
angles (deg): 90.00 90.00 90.00
Element x y z (fractional)
As  0.000  0.000  0.000
Rh  0.000  0.000  0.500
Rh  0.500  0.000  0.000
Li  0.500  0.500  0.500
Nb  0.000  0.500  0.000

The formation energy from the elements is 0.464 eV/atom. The density of states at the Fermi level is 5.89 states/eV/cell.


Here is an optimized crystal structure of LiNbAs2Se from Alexandria. Energies are from PBE.

a b c (Å): 5.053 5.053 5.055
angles (deg): 90.00 90.00 90.00
Element x y z (fractional)
Se  0.000  0.000  0.500
As  0.500  0.000  0.000
As  0.000  0.500  0.000
Li  0.500  0.500  0.500
Nb  0.000  0.000  0.000

For the formation energy from raw total energies, the calculation gives -0.10 eV/atom. The density of states at the Fermi level is 3.76 states/eV/cell.


Here is an optimized crystal structure of LiNbAs2Se from Alexandria. Energies are from PBE.

a b c (Å): 4.418 4.418 4.711
angles (deg): 90.00 90.00 90.00
Element x y z (fractional)
Nb  0.500  0.500  0.500
Li  0.000  0.000  0.000
Se  0.000  0.000  0.500
As  0.000  0.500  0.000
As  0.500  0.000  0.000

For the formation energy from raw total energies, the calculation gives 0.57 eV/atom. The density of states at the Fermi level is 4.45 states/eV/cell.


Here is an optimized crystal structure of LiNbAs2W from Alexandria. Energies are from PBE.

a b c (Å): 5.025 4.986 5.025
angles (deg): 90.00 90.00 90.00
Site moments in Bohr magnetons follow the coordinates.
Element x y z (fractional)
Nb  0.000  0.000  0.000  -0.16
W  0.000  0.500  0.000  1.93
As  0.000  0.000  0.500  -0.02
As  0.500  0.000  0.000  0.01
Li  0.500  0.500  0.500  0.01

The formation energy from the elements is 0.964 eV/atom. The density of states at the Fermi level is 4.17 states/eV/cell.


Here is an optimized crystal structure of Li2NbAsW from Alexandria. Energies are from PBE.

a b c (Å): 4.409 4.796 4.409
angles (deg): 90.00 90.00 90.00
Site moments in Bohr magnetons follow the coordinates.
Element x y z (fractional)
W  0.500  0.500  0.500  0.28
Li  0.000  0.000  0.500  0.09
Li  0.500  0.000  0.000  0.16
As  0.000  0.500  0.000  -0.02
Nb  0.000  0.000  0.000  1.29

The formation energy from the elements is 1.693 eV/atom. The density of states at the Fermi level is 4.12 states/eV/cell.